This record from Alexandria via LeMat-Bulk describes AcPrPuTh after structural relaxation. The functional is PBE. Values from VASP.

The structure in Quantum ESPRESSO input format:
```
&SYSTEM
  ibrav = 0, nat = 4, ntyp = 4
/
ATOMIC_SPECIES
Pr 140.91 Pr.upf
Pu 244.00 Pu.upf
Th 232.04 Th.upf
Ac 227.00 Ac.upf
ATOMIC_POSITIONS angstrom
Pr 0.000 0.000 0.000
Pu 8.744 5.048 3.570
Th 5.829 3.366 2.380
Ac 2.915 1.683 1.190
CELL_PARAMETERS angstrom
5.829 0.000 0.000
2.915 5.048 0.000
2.915 1.683 4.760
```

Results
Calculated formation energy ... 0.323 eV per atom
Total moment ... 8.201 μB per cell